Density functional theory data (PBE) for an optimized crystal structure of Li5Ag3Pd2.

Computed properties:
* calculated total energy: -2.919 eV/atom
* E_form: -0.07 eV/atom

Cell lengths 5.103, 8.586, 8.586 Å; angles 102.99, 72.71, 72.71 degrees
Element x y z (fractional)
1 Li 0.250 0.500 0.500
2 Li 0.750 0.500 0.500
3 Li 0.502 0.748 0.748
4 Li 0.998 0.252 0.252
5 Li 0.498 0.252 0.252
6 Li 0.002 0.748 0.748
7 Li 0.273 0.403 0.050
8 Li 0.727 0.597 0.950
9 Li 0.773 0.050 0.403
10 Li 0.227 0.950 0.597
11 Ag 0.250 0.000 0.000
12 Ag 0.750 0.000 0.000
13 Ag 0.413 0.427 0.747
14 Ag 0.587 0.573 0.253
15 Ag 0.913 0.747 0.427
16 Ag 0.087 0.253 0.573
17 Pd 0.099 0.729 0.073
18 Pd 0.901 0.271 0.927
19 Pd 0.599 0.073 0.729
20 Pd 0.401 0.927 0.271

Density functional theory data (PBE) for an optimized crystal structure of PuSi2RuRh.

Computed properties:
* formation energy (no corrections): -4.13 eV per formula unit
* calculated total energy: -9.186 eV/atom

Cell lengths 4.104, 4.104, 5.772 Å; angles 110.82, 110.82, 90.00 degrees
Element x y z (fractional)
1 Pu 0.000 0.000 0.000
2 Si 0.626 0.626 0.253
3 Si 0.374 0.374 0.747
4 Ru 0.250 0.750 0.500
5 Rh 0.750 0.250 0.500

Density functional theory data (PBE) for an optimized crystal structure of Zn2CrPb2.

Computed properties:
* E above lowest polymorph: 373 meV/atom
* calculated total energy: -3.165 eV/atom
* E_form: 0.75 eV/atom

Cell lengths 7.332, 7.332, 4.039 Å; angles 90.00, 90.00, 90.00 degrees
Element x y z (fractional)
1 Pb 0.323 0.823 0.000
2 Pb 0.823 0.677 0.000
3 Pb 0.677 0.177 0.000
4 Pb 0.177 0.323 0.000
5 Cr 0.000 0.000 0.000
6 Cr 0.500 0.500 0.000
7 Zn 0.128 0.628 0.500
8 Zn 0.628 0.872 0.500
9 Zn 0.872 0.372 0.500
10 Zn 0.372 0.128 0.500

Density functional theory data (PBE) for an optimized crystal structure of RbOF2.

Computed properties:
* E above lowest polymorph: 298 meV/atom
* formation energy (no corrections): -2.79 eV per formula unit
* calculated total energy: -3.114 eV/atom

Cell lengths 4.552, 4.552, 4.552 Å; angles 60.00, 60.00, 60.00 degrees
Element x y z (fractional)
1 O 0.000 0.000 0.000
2 Rb 0.500 0.500 0.500
3 F 0.250 0.250 0.250
4 F 0.750 0.750 0.750

Density functional theory data (PBE) for an optimized crystal structure of Cd2BiF.

Computed properties:
* E above lowest polymorph: 0 meV/atom
* formation energy (no corrections): -2.58 eV per formula unit
* calculated total energy: -2.541 eV/atom

Cell lengths 3.407, 3.407, 9.782 Å; angles 79.97, 79.97, 60.00 degrees
Element x y z (fractional)
1 Cd 0.064 0.064 0.808
2 Cd 0.262 0.262 0.213
3 Bi 0.488 0.488 0.537
4 F 0.686 0.686 0.943

Density functional theory data (PBE) for an optimized crystal structure of SnMo2Au.

Computed properties:
* calculated total energy: -6.469 eV/atom
* E_form: 0.77 eV/atom

Cell lengths 7.495, 7.495, 5.969 Å; angles 51.11, 51.11, 90.00 degrees
Element x y z (fractional)
1 Mo 0.627 0.125 0.250
2 Mo 0.123 0.625 0.250
3 Mo 0.375 0.373 0.750
4 Mo 0.875 0.877 0.750
5 Au 0.000 0.000 0.000
6 Au 0.750 0.250 0.500
7 Sn 0.500 0.500 0.000
8 Sn 0.250 0.750 0.500

Density functional theory data (PBE) for an optimized crystal structure of ZrReCl4.

Computed properties:
* formation energy (no corrections): 6.59 eV per formula unit
* calculated total energy: -3.632 eV/atom

Cell lengths 5.646, 5.646, 5.646 Å; angles 60.00, 60.00, 60.00 degrees
Element x y z (fractional)
1 Zr 0.000 0.000 0.000
2 Re 0.750 0.750 0.750
3 Cl 0.876 0.375 0.375
4 Cl 0.375 0.375 0.876
5 Cl 0.375 0.876 0.375
6 Cl 0.375 0.375 0.375

Density functional theory data (PBE) for an optimized crystal structure of Ta2Mo3W4.

Computed properties:
* calculated total energy: -11.833 eV/atom
* E_form: 0.17 eV/atom

Cell lengths 4.886, 7.965, 7.965 Å; angles 78.51, 90.00, 90.00 degrees
Element x y z (fractional)
1 Ta 0.500 0.172 0.355
2 Ta 0.000 0.645 0.828
3 Ta 0.500 0.828 0.645
4 Ta 0.000 0.355 0.172
5 Mo 0.000 0.023 0.163
6 Mo 0.500 0.837 0.977
7 Mo 0.000 0.977 0.837
8 Mo 0.500 0.163 0.023
9 Mo 0.250 0.500 0.500
10 Mo 0.750 0.500 0.500
11 W 0.500 0.827 0.302
12 W 0.000 0.698 0.173
13 W 0.500 0.173 0.698
14 W 0.000 0.302 0.827
15 W 0.000 0.162 0.521
16 W 0.500 0.479 0.838
17 W 0.000 0.838 0.479
18 W 0.500 0.521 0.162

Density functional theory data (PBE) for an optimized crystal structure of CdTc2Se.

Computed properties:
* E above lowest polymorph: 518 meV/atom
* formation energy (no corrections): 2.47 eV per formula unit
* calculated total energy: -5.665 eV/atom

Cell lengths 4.560, 4.560, 4.560 Å; angles 60.00, 60.00, 60.00 degrees
Element x y z (fractional)
1 Cd 0.500 0.500 0.500
2 Se 0.750 0.750 0.750
3 Tc 0.000 0.000 0.000
4 Tc 0.250 0.250 0.250

Density functional theory data (PBE) for an optimized crystal structure of BaInHg17.

Computed properties:
* calculated total energy: -0.601 eV/atom
* E_form: -0.09 eV/atom

Cell lengths 8.406, 8.406, 8.406 Å; angles 75.72, 75.72, 75.72 degrees
Element x y z (fractional)
1 Ba 0.326 0.326 0.326
2 In 0.656 0.656 0.656
3 Hg 0.309 0.997 0.691
4 Hg 0.691 0.309 0.997
5 Hg 0.997 0.691 0.309
6 Hg 0.309 0.691 0.997
7 Hg 0.997 0.309 0.691
8 Hg 0.691 0.997 0.309
9 Hg 0.339 0.903 0.339
10 Hg 0.339 0.339 0.903
11 Hg 0.903 0.339 0.339
12 Hg 0.608 0.239 0.608
13 Hg 0.608 0.608 0.239
14 Hg 0.239 0.608 0.608
15 Hg 0.928 0.580 0.928
16 Hg 0.928 0.928 0.580
17 Hg 0.580 0.928 0.928
18 Hg 0.942 0.942 0.942
19 Hg 0.110 0.110 0.110

Density functional theory data (PBE) for an optimized crystal structure of Ba2TbBr2O2.

Computed properties:
* formation energy (no corrections): -16.67 eV per formula unit
* calculated total energy: -5.486 eV/atom

Cell lengths 4.578, 4.578, 9.063 Å; angles 104.63, 104.63, 90.00 degrees
Element x y z (fractional)
1 Ba 0.391 0.391 0.783
2 Ba 0.609 0.609 0.217
3 Tb 0.000 0.000 0.000
4 Br 0.181 0.181 0.362
5 Br 0.819 0.819 0.638
6 O 0.000 0.500 0.000
7 O 0.500 0.000 0.000

Density functional theory data (PBE) for an optimized crystal structure of K4MgH5.

Computed properties:
* calculated total energy: -2.377 eV/atom

Cell lengths 5.529, 6.705, 6.705 Å; angles 80.21, 65.65, 65.65 degrees
Element x y z (fractional)
1 K 0.393 0.406 0.827
2 K 0.799 0.827 0.594
3 K 0.220 0.173 0.406
4 K 0.626 0.594 0.173
5 Mg 0.050 0.000 0.000
6 H 0.934 0.295 0.844
7 H 0.230 0.844 0.705
8 H 0.779 0.156 0.295
9 H 0.074 0.705 0.156
10 H 0.404 0.000 0.000

Density functional theory data (PBE) for an optimized crystal structure of KDySe2O6.

Computed properties:
* formation energy (no corrections): -17.44 eV per formula unit
* calculated total energy: -5.986 eV/atom

Cell lengths 5.659, 5.659, 7.076 Å; angles 66.43, 66.43, 60.00 degrees
Element x y z (fractional)
1 K 0.000 0.000 0.000
2 Dy 0.500 0.500 0.500
3 Se 0.727 0.727 0.820
4 Se 0.273 0.273 0.180
5 O 0.067 0.516 0.711
6 O 0.707 0.067 0.711
7 O 0.484 0.293 0.289
8 O 0.933 0.484 0.289
9 O 0.293 0.933 0.289
10 O 0.516 0.707 0.711

Density functional theory data (PBE) for an optimized crystal structure of Er5Ni4Hg.

Computed properties:
* calculated total energy: -5.062 eV/atom
* E_form: -0.44 eV/atom

Cell lengths 3.380, 3.380, 17.461 Å; angles 90.00, 90.00, 90.00 degrees
Element x y z (fractional)
1 Er 0.500 0.500 0.122
2 Er 0.500 0.500 0.311
3 Er 0.500 0.500 0.500
4 Er 0.500 0.500 0.689
5 Er 0.500 0.500 0.878
6 Ni 0.000 0.000 0.214
7 Ni 0.000 0.000 0.406
8 Ni 0.000 0.000 0.594
9 Ni 0.000 0.000 0.786
10 Hg 0.000 0.000 0.000

Density functional theory data (PBE) for an optimized crystal structure of Cr2SiRh.

Computed properties:
* formation energy (no corrections): -0.94 eV per formula unit
* calculated total energy: -8.241 eV/atom

Cell lengths 4.503, 4.503, 4.449 Å; angles 73.06, 73.06, 36.96 degrees
Element x y z (fractional)
1 Cr 0.996 0.996 0.054
2 Cr 0.263 0.263 0.183
3 Rh 0.492 0.492 0.560
4 Si 0.749 0.749 0.703

Density functional theory data (PBE) for an optimized crystal structure of MgFe.

Computed properties:
* calculated total energy: -4.135 eV/atom
* E_form: 0.89 eV/atom

Cell lengths 3.681, 3.681, 3.681 Å; angles 60.00, 60.00, 60.00 degrees
Element x y z (fractional)
1 Fe 0.000 0.000 0.000
2 Mg 0.500 0.500 0.500

Density functional theory data (PBE) for an optimized crystal structure of MoP.

Computed properties:
* calculated total energy: -8.167 eV/atom
* E_form: -0.05 eV/atom

Cell lengths 4.939, 4.939, 4.969 Å; angles 90.00, 90.00, 90.00 degrees
Element x y z (fractional)
1 Mo 0.287 0.287 0.000
2 Mo 0.787 0.213 0.500
3 Mo 0.213 0.787 0.500
4 Mo 0.713 0.713 0.000
5 P 0.217 0.783 0.000
6 P 0.717 0.717 0.500
7 P 0.283 0.283 0.500
8 P 0.783 0.217 0.000

Density functional theory data (PBE) for an optimized crystal structure of Al3HgBr.

Computed properties:
* E above lowest polymorph: 363 meV/atom
* formation energy (no corrections): 3.88 eV per formula unit
* calculated total energy: -1.864 eV/atom

Cell lengths 5.505, 5.505, 5.505 Å; angles 90.00, 90.00, 90.00 degrees
Element x y z (fractional)
1 Hg 0.500 0.500 0.500
2 Br 0.000 0.000 0.000
3 Al 0.000 0.500 0.000
4 Al 0.000 0.000 0.500
5 Al 0.500 0.000 0.000

Density functional theory data (PBE) for an optimized crystal structure of Ac4Ni2Ag.

Computed properties:
* E above lowest polymorph: 0 meV/atom
* calculated total energy: -4.614 eV/atom
* E_form: -0.21 eV/atom

Cell lengths 4.306, 7.429, 14.791 Å; angles 90.00, 90.00, 106.85 degrees
Element x y z (fractional)
1 Ac 0.765 0.530 0.113
2 Ac 0.765 0.530 0.387
3 Ac 0.235 0.470 0.887
4 Ac 0.235 0.470 0.613
5 Ac 0.941 0.883 0.750
6 Ac 0.059 0.117 0.250
7 Ac 0.500 0.000 0.000
8 Ac 0.500 0.000 0.500
9 Ni 0.132 0.263 0.439
10 Ni 0.868 0.737 0.939
11 Ni 0.132 0.263 0.061
12 Ni 0.868 0.737 0.561
13 Ag 0.618 0.236 0.750
14 Ag 0.382 0.764 0.250

Density functional theory data (PBE) for an optimized crystal structure of KTl2OsCl6.

Computed properties:
* formation energy (no corrections): -8.97 eV per formula unit
* calculated total energy: -3.711 eV/atom

Cell lengths 7.103, 8.351, 10.647 Å; angles 90.00, 90.00, 90.00 degrees
Element x y z (fractional)
1 K 0.000 0.686 0.500
2 K 0.500 0.314 0.000
3 Tl 0.500 0.820 0.203
4 Tl 0.000 0.180 0.703
5 Tl 0.500 0.820 0.797
6 Tl 0.000 0.180 0.297
7 Os 0.500 0.197 0.500
8 Os 0.000 0.803 0.000
9 Cl 0.500 0.195 0.277
10 Cl 0.500 0.195 0.723
11 Cl 0.000 0.805 0.223
12 Cl 0.000 0.805 0.777
13 Cl 0.263 0.995 0.500
14 Cl 0.737 0.995 0.500
15 Cl 0.260 0.394 0.500
16 Cl 0.740 0.394 0.500
17 Cl 0.760 0.606 0.000
18 Cl 0.240 0.606 0.000
19 Cl 0.237 0.005 0.000
20 Cl 0.763 0.005 0.000

Density functional theory data (PBE) for an optimized crystal structure of Zr2HPtRh.

Computed properties:
* E above lowest polymorph: 61 meV/atom
* calculated total energy: -7.404 eV/atom

Cell lengths 4.370, 4.370, 3.922 Å; angles 90.00, 90.00, 90.00 degrees
Element x y z (fractional)
1 H 0.000 0.000 0.000
2 Rh 0.500 0.500 0.500
3 Zr 0.000 0.500 0.000
4 Zr 0.500 0.000 0.000
5 Pt 0.000 0.000 0.500

Density functional theory data (PBE) for an optimized crystal structure of Tm2TlHg4.

Computed properties:
* E above lowest polymorph: 184 meV/atom
* calculated total energy: -1.845 eV/atom
* E_form: -0.06 eV/atom

Cell lengths 5.697, 5.697, 7.274 Å; angles 113.06, 113.06, 90.00 degrees
Element x y z (fractional)
1 Tm 0.642 0.642 0.285
2 Tm 0.358 0.358 0.715
3 Tl 0.000 0.000 0.000
4 Hg 0.750 0.250 0.500
5 Hg 0.250 0.750 0.500
6 Hg 0.500 0.000 0.000
7 Hg 0.000 0.500 0.000